Entry from the Alexandria database: a geometry-optimized KNa3V4O12 structure (GGA+U).

Crystal system: trigonal
Total energy in Ry/atom: -0.46241

Cell lengths 7.4209, 7.4209, 7.4209 Å; angles 110.26, 110.26, 110.26 degrees
With the nearest neighbours (Å) after each atom.
Sites, in units of the cell vectors:
K  0.0000  0.0000  0.0000  6 O 3.02
Na  0.0000  0.5716  0.4284  6 O 2.31-2.42
Na  0.4284  0.0000  0.5716  6 O 2.31-2.42
Na  0.5716  0.4284  0.0000  6 O 2.31-2.42
V  0.0755  0.5000  0.9245  3 O 1.68-1.73
V  0.5000  0.5000  0.5000  3 O 1.68
V  0.5000  0.9245  0.0755  3 O 1.68-1.73
V  0.9245  0.0755  0.5000  3 O 1.68-1.73
O  0.0624  0.9376  0.5000  1 V 1.68
O  0.0988  0.6478  0.7899  1 V 1.73
O  0.2101  0.3522  0.9012  1 V 1.73
O  0.3522  0.9012  0.2101  1 V 1.73
O  0.3621  0.6379  0.5000  1 V 1.68
O  0.5000  0.0624  0.9376  1 V 1.68
O  0.5000  0.3621  0.6379  1 V 1.68
O  0.6379  0.5000  0.3621  1 V 1.68
O  0.6478  0.7899  0.0988  1 V 1.73
O  0.7899  0.0988  0.6478  1 V 1.73
O  0.9012  0.2101  0.3522  1 V 1.73
O  0.9376  0.5000  0.0624  1 V 1.68